GGA-PBE YTmMg2Au4, optimized geometry; symmetry = No. 166
1.0
-3.554 -3.241 -0.895
0.490 -4.638 1.480
-4.459 -0.774 7.139
Au Tm Y Mg
4 1 1 2
Cartesian
-2.490 -5.012 1.294 Au
-4.376 -7.173 3.233 Au
-3.148 -1.481 4.491 Au
-5.033 -3.642 6.430 Au
-3.762 -4.327 3.862 Tm
0.000 0.000 0.000 Y
-5.641 -6.491 5.789 Mg
-1.883 -2.162 1.935 Mg

---

GGA-PBE YTmMgAu, optimized geometry; symmetry = No. 216; energy relative to the lowest polymorph listed for this composition = 59 meV per atom
1.0
5.166 0.000 0.000
2.583 4.474 0.000
2.583 1.491 4.218
Mg Y Tm Au
1 1 1 1
Cartesian
0.000 0.000 0.000 Mg
7.750 4.474 3.164 Y
2.583 1.491 1.055 Tm
5.166 2.983 2.109 Au

---

GGA-PBE TmMgZn2Au4, optimized geometry; symmetry = No. 166
1.0
-4.017 -1.627 1.624
-0.242 -4.305 1.683
0.391 0.735 8.299
Au Zn Mg Tm
4 2 1 1
Cartesian
-0.300 -0.300 5.552 Au
-1.312 -1.666 8.277 Au
-2.556 -3.530 3.330 Au
-3.568 -4.896 6.054 Au
-0.964 -1.295 2.912 Zn
-2.904 -3.902 8.694 Zn
-1.934 -2.598 5.803 Mg
0.000 0.000 0.000 Tm

---

| no. | calculated formation energy (eV/f.u.) |
| --- | --- |
| 1 | -6.29 |
| 2 | -1.69 |
| 3 | -4.24 |